1.
The following is a DFT calculation (PBE-GGA) of a relaxed LiYInAg crystal.

Values from the calculation:
The space-group type is No. 216.

```
LiYInAg
1.0
0.000 3.764 3.764
3.764 0.000 3.764
3.764 3.764 0.000
Li Y In Ag
1 1 1 1
Direct
0.000 0.000 0.000
0.500 0.500 0.500
0.250 0.250 0.250
0.750 0.750 0.750
```

=====

2.
The following is a DFT calculation (PBE-GGA) of a relaxed LiYInAg crystal.

Values from the calculation:
The space-group type is No. 115.

```
LiYInAg
1.0
4.879 0.000 0.000
0.000 4.879 0.000
0.000 0.000 6.895
Li Y In Ag
2 2 2 2
Direct
0.000 0.000 0.000
0.500 0.500 0.500
0.000 0.500 0.750
0.500 0.000 0.250
0.000 0.500 0.249
0.500 0.000 0.751
0.000 0.000 0.500
0.500 0.500 0.000
```

=====

In meV per atom, the energy relative to the lowest polymorph listed for this composition values for the records above are, in order, 177.3, 0.0.
In μB/atom, the total moment values for the records above are, in order, 0.00, 0.00.